Sn4BiSe5 after structural relaxation, computed with PBE.

Output
Its space group is I4, No. 79. For the uncorrected formation energy, the calculation gives -0.370 eV/atom.

Lattice parameters (Å, degrees): 6.0959 7.4432 7.4432 80.35 65.83 65.83
Last column: nearest neighbours and their distance in Å.
Atoms (fractional coordinates):
Bi 0.0039 0.0000 0.0000  6 Se 3.02-3.06
Se 0.6960 0.1983 0.3987  5 Sn 2.98-3.12, 1 Bi 3.02
Sn 0.6071 0.5983 0.1990  6 Se 2.98-3.12
Sn 0.2055 0.1990 0.4017  6 Se 2.98-3.12
Sn 0.4045 0.4017 0.8010  6 Se 2.98-3.12
Sn 0.8061 0.8010 0.5983  6 Se 2.98-3.12
Se 0.0947 0.6013 0.1983  5 Sn 2.98-3.12, 1 Bi 3.02
Se 0.8943 0.3987 0.8017  5 Sn 2.98-3.12, 1 Bi 3.02
Se 0.2930 0.8017 0.6013  5 Sn 2.98-3.12, 1 Bi 3.02
Se 0.5052 0.0000 0.0000  2 Bi 3.04-3.06, 4 Sn 3.04


Sn5BiSe6 after structural relaxation, computed with PBE.

Output
Its space group is C2/m, No. 12. For the uncorrected formation energy, the calculation gives -0.379 eV/atom.

Lattice parameters (Å, degrees): 7.3299 7.3299 7.6684 99.31 99.31 120.47
Last column: nearest neighbours and their distance in Å.
Atoms (fractional coordinates):
Sn 0.1652 0.8348 0.5000  6 Se 3.00-3.08
Se 0.0819 0.4125 0.2480  1 Bi 3.01, 5 Sn 3.03-3.08
Sn 0.3329 0.6671 0.0000  6 Se 3.03-3.06
Se 0.9181 0.5875 0.7520  1 Bi 3.01, 5 Sn 3.03-3.08
Se 0.2459 0.2459 0.7460  5 Sn 3.00-3.06, 1 Bi 3.04
Sn 0.5000 0.5000 0.5000  6 Se 3.04
Sn 0.6671 0.3329 0.0000  6 Se 3.03-3.06
Bi 0.0000 0.0000 0.0000  6 Se 3.01-3.04
Se 0.4125 0.0819 0.2480  1 Bi 3.01, 5 Sn 3.03-3.08
Sn 0.8348 0.1652 0.5000  6 Se 3.00-3.08
Se 0.7541 0.7541 0.2540  5 Sn 3.00-3.06, 1 Bi 3.04
Se 0.5875 0.9181 0.7520  1 Bi 3.01, 5 Sn 3.03-3.08